Model a:
4
Lattice="-1.6250 2.2337 4.2768 1.6250 -2.2337 4.2768 1.6250 2.2337 -4.2768" Properties=species:S:1:pos:R:3 comment="PBE-GGA Ta2FeOs, relaxed" vol_a3_per_atom=15.524 dos_ef_per_ev_fu=2.93 pbc="T T T"
Ta 0.0000 0.0000 2.1282
Ta 0.0000 0.0000 6.4254
Fe 1.6250 0.0000 0.0000
Os 0.0000 2.2337 0.0000

---

Model b:
4
Lattice="1.5000 0.8660 8.1470 -1.5000 0.8660 8.1470 0.0000 -1.7320 8.1470" Properties=species:S:1:pos:R:3 comment="PBE-GGA Ta2FeOs, relaxed" vol_a3_per_atom=15.874 dos_ef_per_ev_fu=3.99 pbc="T T T"
Ta 0.0000 0.0000 6.0225
Ta 0.0000 0.0000 18.4183
Fe 0.0000 0.0000 12.2204
Os 0.0000 0.0000 0.0000

---

Relative energies, in eV/atom, with the most stable structure set to zero: model a 0.000; model b 0.209.

---

Model a:
4
Lattice="1.6159 -2.2825 0.0000 1.6159 2.2825 0.0000 0.0000 0.0000 8.3955" Properties=species:S:1:pos:R:3 comment="PBE-GGA Ta2FeOs, relaxed" vol_a3_per_atom=15.483 dos_ef_per_ev_fu=3.14 pbc="T T T"
Ta 0.0000 0.0000 2.0107
Ta 0.0000 0.0000 6.3849
Fe 1.6159 0.0000 0.0000
Os 1.6159 0.0000 4.1978

---

Model b:
4
Lattice="0.0000 3.1451 3.1451 3.1451 0.0000 3.1451 3.1451 3.1451 0.0000" Properties=species:S:1:pos:R:3 comment="PBE-GGA Ta2FeOs, relaxed" vol_a3_per_atom=15.555 dos_ef_per_ev_fu=1.92 pbc="T T T"
Ta 1.5726 1.5726 1.5726
Ta 4.7177 4.7177 4.7177
Fe 0.0000 0.0000 0.0000
Os 3.1451 3.1451 3.1451

---

Relative energies, in eV/atom, with the most stable structure set to zero: model a 0.242; model b 0.000.